Here is Hf4FeHg after structural relaxation from Alexandria. Energies are from PBE.

Its energy of formation from the pure elements is -0.091 eV per atom.

It has space group C2/c (No. 15), with a = 8.019 Å, b = 11.670 Å, c = 5.488 Å, α = 90.00°, β = 107.04° and γ = 90.00°. The distinct sites, in fractional coordinates, are Hf at (0.106, 0.176, 0.054), Hf at (0.229, 0.415, 0.380), Fe at (0.000, 0.002, 0.750) and Hg at (0.000, 0.386, 0.750).



Here is RbPmAlS3 after structural relaxation from Alexandria. Energies are from PBE.

The raw formation energy is -1.425 eV/atom.

It has space group C2/m (No. 12), with a = 15.539 Å, b = 4.602 Å, c = 8.911 Å, α = 90.00°, β = 102.81° and γ = 90.00°. The distinct sites, in fractional coordinates, are Rb at (0.143, 0.000, 0.058), Pm at (0.147, 0.000, 0.563), Al at (0.000, 0.500, 0.350), S at (0.006, 0.000, 0.289), S at (0.150, 0.500, 0.773) and S at (0.166, 0.500, 0.363).



Here is Sm6Y2Er3 after structural relaxation from Alexandria. Energies are from PBE.

Its energy of formation from the pure elements is 0.017 eV per atom. The value obtained for the energy above the most stable polymorph in this dataset is 0.000 eV per atom.

It has space group P-1 (No. 2), with a = 6.207 Å, b = 7.994 Å, c = 8.028 Å, α = 107.46°, β = 97.45° and γ = 104.83°. The distinct sites, in fractional coordinates, are Sm at (0.045, 0.182, 0.410), Sm at (0.136, 0.545, 0.230), Sm at (0.319, 0.274, 0.864), Y at (0.228, 0.910, 0.046), Er at (0.410, 0.637, 0.681) and Er at (0.500, 0.000, 0.500).



Here is NaLaHg after structural relaxation from Alexandria. Energies are from PBE.

Its energy of formation from the pure elements is -0.151 eV per atom. The value obtained for the energy above the most stable polymorph in this dataset is 0.010 eV per atom.

It has space group Immm (No. 71), with a = 3.569 Å, b = 5.601 Å, c = 19.003 Å, α = 90.00°, β = 90.00° and γ = 90.00°. The distinct sites, in fractional coordinates, are Na at (0.000, 0.248, 0.000), La at (0.000, 0.000, 0.324) and Hg at (0.000, 0.000, 0.151).